# 1
Pm5Sn2Ir, relaxed, DFT PBE; N(E_F) = 7.06 states/eV/f.u.; energy relative to the elements = -0.43 eV per atom
1.0
-3.5620 3.5620 4.5049
3.5620 -3.5620 4.5049
3.5620 3.5620 -4.5049
Pm Sn Ir
5 2 1
direct
0.0000 0.0000 0.0000 Pm
0.0117 0.0117 0.5008 Pm
0.0117 0.5109 0.0000 Pm
0.5109 0.0117 0.0000 Pm
0.5109 0.5109 0.4992 Pm
0.0134 0.5134 0.5000 Sn
0.5134 0.0134 0.5000 Sn
0.6149 0.6149 0.0000 Ir


# 2
ZnPdBr2Cl, relaxed, DFT PBE; final energy = -2.293 eV/atom; N(E_F) = 5.10 states/eV/f.u.
1.0
5.0258 0.0000 0.0000
0.0000 5.0258 0.0000
0.0000 0.0000 5.1050
Zn Pd Br Cl
1 1 2 1
direct
0.0000 0.0000 0.0000 Zn
0.0000 0.0000 0.5000 Pd
0.0000 0.5000 0.5000 Br
0.5000 0.0000 0.5000 Br
0.5000 0.5000 0.0000 Cl


Which of these has the highest N(E_F)? Pm5Sn2Ir


N(E_F) of number 1 (Pm5Sn2Ir)? 7.06 states/eV/f.u.


The lowest N(E_F) belongs to which entry? ZnPdBr2Cl